[1]
Below is a relaxed structure of MnSn3Br6Cl2, with properties calculated at the PBE-GGA level.

abc: 8.404 8.404 6.504
angles: 92.22 92.22 59.42
Fractional positions:
Mn: 0.000 0.000 0.000
Sn: 0.000 0.500 0.000
Sn: 0.500 0.000 0.000
Sn: 0.500 0.500 0.500
Br: 0.143 0.143 0.761
Br: 0.154 0.685 0.757
Br: 0.315 0.846 0.243
Br: 0.685 0.154 0.757
Br: 0.846 0.315 0.243
Br: 0.857 0.857 0.239
Cl: 0.332 0.332 0.253
Cl: 0.668 0.668 0.747

As for the density: 4.04 Mg/m³. Its uncorrected formation energy is -0.803 eV/atom.

=====

[2]
Below is a relaxed structure of InTe2IrI, with properties calculated at the PBE-GGA level.

abc: 5.262 5.262 5.740
angles: 90.00 90.00 90.00
Fractional positions:
In: 0.000 0.000 0.000
Te: 0.000 0.500 0.500
Te: 0.500 0.000 0.500
Ir: 0.500 0.500 0.500
I: 0.500 0.500 0.000

As for the density: 7.20 Mg/m³. Its uncorrected formation energy is 0.256 eV/atom. The value obtained for the polymorph energy (0 for the lowest one) is 0.000 eV/atom.

=====

Question: What is the formula in the second record?
Answer: InTe2IrI